Density functional theory data (PBE) for a relaxed MnBe2SbC crystal.

## Properties
Formation energy (no corrections)   39.1 kJ/mol of atoms
Mass density   6.05 g/cm3
Symmetry   P4/mmm (123)

Geometry as POSCAR:
```
MnBe2SbC
1.0
3.812 0.000 0.000
0.000 3.812 0.000
0.000 0.000 3.904
Mn Be Sb C
1 2 1 1
direct
0.000 0.000 0.000
0.000 0.500 0.500
0.500 0.000 0.500
0.500 0.500 0.000
0.000 0.000 0.500
```